{
  "formula": "GaTcB",
  "functional": "PBE-GGA",
  "state": "relaxed",
  "magmom_total_mub_per_cell": 0.00,
  "sg": "F-43m (216)",
  "dft_energy_ev_per_atom": -6.54,
  "lattice_angstrom": [[0.0000, 2.6425, 2.6425], [2.6425, 0.0000, 2.6425], [2.6425, 2.6425, 0.0000]],
  "species": ["Tc", "B", "Ga"],
  "fractional_positions": [[0.7500, 0.7500, 0.7500], [0.0000, 0.0000, 0.0000], [0.2500, 0.2500, 0.2500]]
}

=====

{
  "formula": "TaOF3",
  "functional": "PBE-GGA",
  "state": "relaxed",
  "magmom_total_mub_per_cell": 0.00,
  "sg": "P4_2/mnm (136)",
  "dft_energy_ev_per_atom": -7.54,
  "lattice_angstrom": [[8.0820, 0.0000, 0.0000], [0.0000, 8.0820, 0.0000], [0.0000, 0.0000, 3.7782]],
  "species": ["F", "F", "F", "F", "F", "F", "F", "F", "F", "F", "F", "F", "O", "O", "O", "O", "Ta", "Ta", "Ta", "Ta"],
  "fractional_positions": [[0.8742, 0.6218, 0.0000], [0.3742, 0.8782, 0.5000], [0.8782, 0.3742, 0.5000], [0.3915, 0.3915, 0.5000], [0.6218, 0.8742, 0.0000], [0.1218, 0.6258, 0.5000], [0.8915, 0.1085, 0.0000], [0.1258, 0.3782, 0.0000], [0.1085, 0.8915, 0.0000], [0.6085, 0.6085, 0.5000], [0.6258, 0.1218, 0.5000], [0.3782, 0.1258, 0.0000], [0.3735, 0.6265, 0.0000], [0.6265, 0.3735, 0.0000], [0.8735, 0.8735, 0.5000], [0.1265, 0.1265, 0.5000], [0.8499, 0.8499, 0.0000], [0.3499, 0.6501, 0.5000], [0.6501, 0.3499, 0.5000], [0.1501, 0.1501, 0.0000]]
}

=====

{
  "formula": "TaCuSi2",
  "functional": "PBE-GGA",
  "state": "relaxed",
  "magmom_total_mub_per_cell": 0.01,
  "sg": "F-43m (216)",
  "dft_energy_ev_per_atom": -6.22,
  "lattice_angstrom": [[0.0000, 3.0840, 3.0840], [3.0840, 0.0000, 3.0840], [3.0840, 3.0840, 0.0000]],
  "species": ["Si", "Si", "Cu", "Ta"],
  "fractional_positions": [[0.0000, 0.0000, 0.0000], [0.7500, 0.7500, 0.7500], [0.2500, 0.2500, 0.2500], [0.5000, 0.5000, 0.5000]]
}

=====

{
  "formula": "Re2BPd",
  "functional": "PBE-GGA",
  "state": "relaxed",
  "magmom_total_mub_per_cell": 0.35,
  "sg": "F-43m (216)",
  "dft_energy_ev_per_atom": -8.36,
  "lattice_angstrom": [[-1.0559, -4.0467, 0.6627], [-4.0733, -1.1565, -0.0242], [-1.5173, -2.3411, -3.1854]],
  "species": ["Re", "Re", "B", "Pd"],
  "fractional_positions": [[0.7500, 0.7500, 0.7500], [0.0000, 0.0000, 0.0000], [0.5000, 0.5000, 0.5000], [0.2500, 0.2500, 0.2500]]
}

=====

{
  "formula": "Hf3Al3NiIr2",
  "functional": "PBE-GGA",
  "state": "relaxed",
  "magmom_total_mub_per_cell": 0.01,
  "sg": "P-62m (189)",
  "dft_energy_ev_per_atom": -8.01,
  "lattice_angstrom": [[7.1302, 0.0000, 0.0000], [-3.5651, 6.1750, 0.0000], [0.0000, 0.0000, 3.4158]],
  "species": ["Hf", "Hf", "Hf", "Al", "Al", "Al", "Ni", "Ir", "Ir"],
  "fractional_positions": [[0.4019, 0.0000, 0.0000], [0.0000, 0.4019, 0.0000], [0.5981, 0.5981, 0.0000], [0.2500, 0.2500, 0.5000], [0.7500, 0.0000, 0.5000], [0.0000, 0.7500, 0.5000], [0.0000, 0.0000, 0.0000], [0.3333, 0.6667, 0.5000], [0.6667, 0.3333, 0.5000]]
}

=====

{
  "formula": "TaHgO3",
  "functional": "PBE-GGA",
  "state": "relaxed",
  "magmom_total_mub_per_cell": 0.00,
  "sg": "P4mm (99)",
  "dft_energy_ev_per_atom": -6.65,
  "lattice_angstrom": [[-2.8219, -0.3066, -1.6855], [-1.2987, -1.7356, 2.4899], [-2.1455, 5.3599, 2.6170]],
  "species": ["O", "O", "O", "Hg", "Ta"],
  "fractional_positions": [[0.5000, 0.5000, 0.0727], [0.0000, 0.5000, 0.7445], [0.5000, 0.0000, 0.7445], [0.5000, 0.5000, 0.4339], [0.0000, 0.0000, 0.9045]]
}

=====

{
  "formula": "H4AuC4S4N4O2",
  "functional": "PBE-GGA",
  "state": "relaxed",
  "sg": "P-1 (2)",
  "dft_energy_ev_per_atom": -5.89,
  "lattice_angstrom": [[-0.1399, 2.1666, 3.1151], [-4.0441, -6.2650, 4.0653], [8.6057, -2.3306, 1.2626]],
  "species": ["C", "C", "C", "C", "O", "O", "N", "N", "N", "N", "H", "H", "H", "H", "Au", "S", "S", "S", "S"],
  "fractional_positions": [[0.2601, 0.0533, 0.6673], [0.7399, 0.9467, 0.3327], [0.1887, 0.6359, 0.9116], [0.8113, 0.3641, 0.0884], [0.7132, 0.3977, 0.5263], [0.2868, 0.6023, 0.4737], [0.9480, 0.4482, 0.1970], [0.0520, 0.5518, 0.8030], [0.2681, 0.1650, 0.6078], [0.7319, 0.8350, 0.3922], [0.1657, 0.5425, 0.3767], [0.4962, 0.6554, 0.4431], [0.5038, 0.3446, 0.5569], [0.8343, 0.4575, 0.6233], [0.5000, 0.0000, 0.0000], [0.6231, 0.2526, 0.9310], [0.7499, 0.1057, 0.2526], [0.3769, 0.7474, 0.0690], [0.2501, 0.8943, 0.7474]]
}

=====

{
  "formula": "MgInAgPd",
  "functional": "PBE-GGA",
  "state": "relaxed",
  "sg": "F-43m (216)",
  "dft_energy_ev_per_atom": -3.49,
  "lattice_angstrom": [[-3.5780, 0.0215, 2.9901], [-4.2191, -1.4052, -1.4027], [-1.7556, -4.0268, 1.5641]],
  "species": ["Mg", "Ag", "In", "Pd"],
  "fractional_positions": [[0.7500, 0.7500, 0.7500], [0.5000, 0.5000, 0.5000], [0.2500, 0.2500, 0.2500], [0.0000, 0.0000, 0.0000]]
}

=====

{
  "formula": "Tb2GdMg3CuPt2",
  "functional": "PBE-GGA",
  "state": "relaxed",
  "magmom_total_mub_per_cell": 0.01,
  "sg": "Amm2 (38)",
  "dft_energy_ev_per_atom": -4.54,
  "lattice_angstrom": [[3.9722, 0.0000, 0.0000], [0.0000, 6.5056, 3.7514], [0.0000, -6.5056, 3.7514]],
  "species": ["Mg", "Mg", "Mg", "Pt", "Pt", "Tb", "Tb", "Gd", "Cu"],
  "fractional_positions": [[0.5000, 0.9996, 0.2441], [0.5000, 0.2441, 0.9996], [0.5000, 0.7561, 0.7561], [0.5000, 0.3331, 0.6677], [0.5000, 0.6677, 0.3331], [0.0000, 0.9999, 0.5841], [0.0000, 0.5841, 0.9999], [0.0000, 0.4160, 0.4160], [0.0000, 0.9995, 0.9995]]
}

=====

{
  "formula": "Li2YMgIn2Au2",
  "functional": "PBE-GGA",
  "state": "relaxed",
  "magmom_total_mub_per_cell": 0.01,
  "sg": "P-4m2 (115)",
  "dft_energy_ev_per_atom": -3.50,
  "lattice_angstrom": [[-0.3624, -1.1126, -4.6139], [1.0910, -4.5230, 1.0050], [-6.6526, -1.4128, 0.8633]],
  "species": ["Au", "Au", "Li", "Li", "In", "In", "Y", "Mg"],
  "fractional_positions": [[0.0000, 0.5000, 0.2373], [0.5000, 0.0000, 0.7627], [0.0000, 0.5000, 0.7797], [0.5000, 0.0000, 0.2203], [0.0000, 0.0000, 0.5000], [0.5000, 0.5000, 0.0000], [0.5000, 0.5000, 0.5000], [0.0000, 0.0000, 0.0000]]
}

=====

{
  "formula": "Ba2Re",
  "functional": "PBE-GGA",
  "state": "relaxed",
  "magmom_total_mub_per_cell": 1.69,
  "sg": "Fd-3m (227)",
  "dft_energy_ev_per_atom": -3.76,
  "lattice_angstrom": [[-5.7429, 6.9135, 1.4777], [2.5981, 7.0608, 5.1338], [1.5456, 8.1073, -3.8528]],
  "species": ["Re", "Re", "Ba", "Ba", "Ba", "Ba"],
  "fractional_positions": [[0.2500, 0.2500, 0.2500], [0.5000, 0.5000, 0.5000], [0.3750, 0.8750, 0.3750], [0.3750, 0.3750, 0.3750], [0.3750, 0.3750, 0.8750], [0.8750, 0.3750, 0.3750]]
}

=====

{
  "formula": "TaOsPd",
  "functional": "PBE-GGA",
  "state": "relaxed",
  "magmom_total_mub_per_cell": 0.00,
  "sg": "F-43m (216)",
  "dft_energy_ev_per_atom": -9.13,
  "lattice_angstrom": [[-1.8753, 0.8542, 3.7575], [-4.2481, -0.3863, 0.4114], [-1.6445, -3.1861, 2.3473]],
  "species": ["Os", "Ta", "Pd"],
  "fractional_positions": [[0.2500, 0.2500, 0.2500], [0.0000, 0.0000, 0.0000], [0.7500, 0.7500, 0.7500]]
}